The following is a GGA-PBE calculation of an optimized crystal structure of SrAc3Au4, from the Alexandria database.

```
16
Lattice="7.790 0.000 0.000 0.000 7.790 0.000 0.000 0.000 7.790" Properties=species:S:1:pos:R:3 pbc="T T T"
Sr 0.000 0.000 0.000
Sr 3.895 3.895 3.895
Ac 0.000 0.000 3.895
Ac 0.000 3.895 0.000
Ac 0.000 3.895 3.895
Ac 3.895 0.000 0.000
Ac 3.895 0.000 3.895
Ac 3.895 3.895 0.000
Au 1.948 1.948 1.948
Au 1.948 1.948 5.843
Au 1.948 5.843 1.948
Au 1.948 5.843 5.843
Au 5.843 1.948 1.948
Au 5.843 1.948 5.843
Au 5.843 5.843 1.948
Au 5.843 5.843 5.843
```

Values from the calculation:
Its formation energy is -74.24 kJ/mol of atoms. As for the space group: Im-3m, No. 229. Its crystal system is cubic. The magnetization is 0.00 μB/cell.

The following is a GGA-PBE calculation of an optimized crystal structure of PmNpCoIr, from the Alexandria database.

```
16
Lattice="6.855 0.000 0.000 0.000 6.855 0.000 0.000 0.000 6.855" Properties=species:S:1:pos:R:3 pbc="T T T"
Pm 0.000 0.000 0.000
Pm 0.000 3.428 3.428
Pm 3.428 0.000 3.428
Pm 3.428 3.428 0.000
Np 0.000 0.000 3.428
Np 0.000 3.428 0.000
Np 3.428 0.000 0.000
Np 3.428 3.428 3.428
Co 1.714 1.714 1.714
Co 1.714 5.141 5.141
Co 5.141 1.714 5.141
Co 5.141 5.141 1.714
Ir 1.714 1.714 5.141
Ir 1.714 5.141 1.714
Ir 5.141 1.714 1.714
Ir 5.141 5.141 5.141
```

Values from the calculation:
Its formation energy is -10.81 kJ/mol of atoms. As for the space group: F-43m, No. 216. Its crystal system is cubic. The magnetization is 12.59 μB/cell.

The following is a GGA-PBE calculation of an optimized crystal structure of K3PaTl2Te6, from the Alexandria database.

```
12
Lattice="4.014 -6.959 0.000 4.014 6.959 0.000 -2.679 0.000 8.199" Properties=species:S:1:pos:R:3 pbc="T T T"
K 0.000 0.000 0.000
K 4.014 2.452 0.000
K 4.014 -2.452 0.000
Pa 2.674 0.000 4.099
Tl 2.674 4.675 4.099
Tl 2.674 -4.675 4.099
Te 1.435 2.154 2.368
Te 0.215 0.000 5.864
Te 1.435 -2.154 2.368
Te 3.914 2.154 5.830
Te 5.133 0.000 2.334
Te 3.914 -2.154 5.830
```

Values from the calculation:
As for the space group: C2/m, No. 12. Its crystal system is monoclinic. Its total energy is -45.10 eV for the cell shown. The magnetization is 0.00 μB/cell.

The following is a GGA-PBE calculation of an optimized crystal structure of Pm4P3, from the Alexandria database.

```
7
Lattice="2.059 1.189 13.157 -2.059 1.189 13.157 0.000 -2.378 13.157" Properties=species:S:1:pos:R:3 pbc="T T T"
Pm 0.000 0.000 4.903
Pm 0.000 0.000 14.785
Pm 0.000 0.000 24.687
Pm 0.000 0.000 34.569
P 0.000 0.000 0.000
P 0.000 0.000 9.756
P 0.000 0.000 29.717
```

Values from the calculation:
Its formation energy is -127.74 kJ/mol of atoms. As for the space group: R-3m, No. 166. Its crystal system is trigonal. The magnetization is 0.00 μB/cell.

The following is a GGA-PBE calculation of an optimized crystal structure of Cd2CuTe, from the Alexandria database.

```
4
Lattice="4.057 0.000 0.000 0.000 3.808 0.000 -2.016 0.000 6.025" Properties=species:S:1:pos:R:3 pbc="T T T"
Cd 0.000 0.000 0.000
Cd 0.013 1.904 4.101
Cu 2.040 0.000 3.411
Te 2.036 1.904 1.526
```

Values from the calculation:
As for the space group: Pm, No. 6. Its crystal system is monoclinic. Its total energy is -8.93 eV for the cell shown. The magnetization is 0.00 μB/cell.

The following is a GGA-PBE calculation of an optimized crystal structure of Ba2ZrBr, from the Alexandria database.

```
8
Lattice="4.421 0.000 0.000 0.000 6.020 0.000 0.000 0.000 11.075" Properties=species:S:1:pos:R:3 pbc="T T T"
Ba 0.000 0.000 0.000
Ba 0.000 3.010 3.859
Ba 2.211 0.000 3.859
Ba 2.211 3.010 0.000
Zr 0.000 0.000 6.647
Zr 2.211 3.010 6.647
Br 0.000 3.010 8.520
Br 2.211 0.000 8.520
```

Values from the calculation:
As for the space group: Cmm2, No. 35. Its crystal system is orthorhombic. Its total energy is -28.45 eV for the cell shown. The magnetization is 0.00 μB/cell.

The following is a GGA-PBE calculation of an optimized crystal structure of TlCd2AgP, from the Alexandria database.

```
5
Lattice="5.532 0.000 0.000 0.000 5.532 0.000 0.000 0.000 5.316" Properties=species:S:1:pos:R:3 pbc="T T T"
Tl 0.000 0.000 0.000
Cd 0.000 2.766 0.000
Cd 2.766 0.000 0.000
Ag 0.000 0.000 2.658
P 2.766 2.766 2.658
```

Values from the calculation:
Its formation energy is 92.84 kJ/mol of atoms. As for the space group: P4/mmm, No. 123. Its crystal system is tetragonal. The magnetization is 1.86 μB/cell.

The following is a GGA-PBE calculation of an optimized crystal structure of FeSb3, from the Alexandria database.

```
16
Lattice="8.118 0.000 0.000 0.000 13.928 0.000 0.000 0.000 3.731" Properties=species:S:1:pos:R:3 pbc="T T T"
Fe 0.000 0.812 0.933
Fe 0.000 13.116 2.798
Fe 4.059 6.152 2.798
Fe 4.059 7.776 0.933
Sb 0.000 3.383 2.798
Sb 0.000 10.546 0.933
Sb 1.940 1.301 2.798
Sb 1.940 12.627 0.933
Sb 2.119 5.663 0.933
Sb 2.119 8.265 2.798
Sb 4.059 3.582 0.933
Sb 4.059 10.347 2.798
Sb 5.999 5.663 0.933
Sb 5.999 8.265 2.798
Sb 6.178 1.301 2.798
Sb 6.178 12.627 0.933
```

Values from the calculation:
As for the space group: Cmcm, No. 63. Its crystal system is orthorhombic. Its total energy is -80.55 eV for the cell shown. The magnetization is 7.57 μB/cell.

Which of these has the highest magnetization? PmNpCoIr